Computed, not measured: an optimized crystal structure of SiAgAsBr2 at the PBE level of DFT.

Properties
V ... 27.9 Å³ per atom
Energy above the lowest structure with this stoichiometry ... 377 meV per atom
Magnetic moment ... 0.0 μB/cell
Raw total energy ... -2.4946 eV per atom
DOS at the Fermi energy ... 0.97 states/eV per atom

Unit cell a=5.1753 b=5.1753 c=5.2124 alpha=90.00 beta=90.00 gamma=90.00
Fractional positions:
Br 0.5000 0.0000 0.0000
Br 0.0000 0.5000 0.0000
Ag 0.0000 0.0000 0.0000
As 0.0000 0.0000 0.5000
Si 0.5000 0.5000 0.5000

---

Computed, not measured: an optimized crystal structure of GaCo2B at the PBE level of DFT.

Properties
V ... 10.9 Å³ per atom
Energy above the lowest structure with this stoichiometry ... 223 meV per atom
Magnetic moment ... 0.0 μB/cell
Raw total energy ... -5.9450 eV per atom
ΔH_f (0 K) ... 0.0341 eV per atom
DOS at the Fermi energy ... 0.49 states/eV per atom

Unit cell a=6.0207 b=6.0207 c=4.8865 alpha=51.97 beta=51.97 gamma=90.00
Fractional positions:
Co 0.3750 0.4560 0.7500
Ga 0.0000 0.0000 0.0000
B 0.2500 0.7500 0.5000
Co 0.2060 0.6250 0.2500
Ga 0.7500 0.2500 0.5000
Co 0.8750 0.7940 0.7500
B 0.5000 0.5000 0.0000
Co 0.5440 0.1250 0.2500

---

Q: energy above the lowest structure with this stoichiometry of number 1 (SiAgAsBr2)?
A: 377 meV per atom